Material: Ac3ThN4
Method: DFT, PBE-GGA
State: relaxed

Structure (POSCAR):
```
Ac3ThN4
1.0
-3.504 -0.888 -1.276
-0.853 -4.090 5.189
-2.133 6.101 1.614
N Ac Th
4 3 1
direct
0.500 0.232 0.768 N
0.000 0.228 0.228 N
0.000 0.772 0.772 N
0.500 0.768 0.232 N
0.000 0.000 0.500 Ac
0.000 0.500 0.000 Ac
0.500 0.500 0.500 Ac
0.500 0.000 0.000 Th
```

Output
Total moment = 0.000 Bohr magnetons per cell
Energy relative to the elements, uncorrected = -1.215 eV per atom
Crystal system = orthorhombic
Space group = No. 65